Entry 1:
DFT (PBE-GGA) results for an optimized crystal structure of Dy2Y3Tm2.

Summary:
total energy	-5.24	eV/atom
formation enthalpy at 0 K	0.86	eV/f.u.
theoretical density	6.89	g/cm3
relative energy among the computed polymorphs	0.097	eV/atom
DOS(E_F)	23.63	states/eV/cell

CIF file:
```
data_Dy2Y3Tm2
_symmetry_space_group_name_H-M 'C 1 2/m 1'
_symmetry_Int_Tables_number 12
_symmetry_space_group_name_Hall '-C 2y'
_cell_length_a 17.3465
_cell_length_b 3.4832
_cell_length_c 8.4932
_cell_angle_alpha 90.00
_cell_angle_beta 119.22
_cell_angle_gamma 90.00
loop_
_atom_site_label
_atom_site_type_symbol
_atom_site_fract_x
_atom_site_fract_y
_atom_site_fract_z
Dy1 Dy 0.0652 0.0000 0.4101
Y1 Y 0.0000 0.5000 0.0000
Y2 Y 0.2121 0.5000 0.2992
Tm1 Tm 0.1467 0.5000 0.8246
```

Entry 2:
DFT (PBE-GGA) results for an optimized crystal structure of Ca2Nd2Mg3.

Summary:
total energy	-2.66	eV/atom
formation enthalpy at 0 K	-0.31	eV/f.u.
theoretical density	3.24	g/cm3
DOS(E_F)	14.48	states/eV/cell

CIF file:
```
data_Ca2Nd2Mg3
_symmetry_space_group_name_H-M 'C m m m'
_symmetry_Int_Tables_number 65
_symmetry_space_group_name_Hall '-C 2 2'
_cell_length_a 3.9259
_cell_length_b 30.6043
_cell_length_c 3.7725
_cell_angle_alpha 90.00
_cell_angle_beta 90.00
_cell_angle_gamma 90.00
loop_
_atom_site_label
_atom_site_type_symbol
_atom_site_fract_x
_atom_site_fract_y
_atom_site_fract_z
Ca1 Ca 0.0000 0.1963 0.0000
Nd1 Nd 0.0000 0.0634 0.0000
Mg1 Mg 0.0000 0.3717 0.5000
Mg2 Mg 0.0000 0.5000 0.5000
```

Entry 3:
DFT (PBE-GGA) results for an optimized crystal structure of SrNpBiO6.

Summary:
total energy	-7.70	eV/atom
theoretical density	6.75	g/cm3
E_form (uncorrected)	-2.341	eV per atom

CIF file:
```
data_SrNpBiO6
_symmetry_space_group_name_H-M 'P -3 1 c'
_symmetry_Int_Tables_number 163
_symmetry_space_group_name_Hall '-P 3 2c'
_cell_length_a 5.9252
_cell_length_b 5.9252
_cell_length_c 10.1859
_cell_angle_alpha 90.00
_cell_angle_beta 90.00
_cell_angle_gamma 120.00
loop_
_atom_site_label
_atom_site_type_symbol
_atom_site_fract_x
_atom_site_fract_y
_atom_site_fract_z
Sr1 Sr 0.0000 0.0000 0.0000
Np1 Np 0.3333 0.6667 0.2500
Bi1 Bi 0.3333 0.6667 0.7500
O1 O 0.0401 0.3827 0.1412
```

Entry 4:
DFT (PBE-GGA) results for an optimized crystal structure of Rb2Tl6Pt.

Summary:
total energy	-2.56	eV/atom
formation enthalpy at 0 K	-0.86	eV/f.u.
theoretical density	8.74	g/cm3
DOS(E_F)	9.08	states/eV/cell

CIF file:
```
data_Rb2Tl6Pt
_symmetry_space_group_name_H-M 'C 1 2/m 1'
_symmetry_Int_Tables_number 12
_symmetry_space_group_name_Hall '-C 2y'
_cell_length_a 12.8441
_cell_length_b 7.9010
_cell_length_c 5.9831
_cell_angle_alpha 90.00
_cell_angle_beta 94.69
_cell_angle_gamma 90.00
loop_
_atom_site_label
_atom_site_type_symbol
_atom_site_fract_x
_atom_site_fract_y
_atom_site_fract_z
Rb1 Rb 0.1341 0.0000 0.2101
Tl1 Tl 0.0965 0.2878 0.6888
Tl2 Tl 0.1900 0.5000 0.2654
Pt1 Pt 0.0000 0.5000 0.0000
```

Entry 5:
DFT (PBE-GGA) results for an optimized crystal structure of HoErBr3.

Summary:
total energy	-4.31	eV/atom
theoretical density	5.69	g/cm3
E_form (uncorrected)	-1.479	eV per atom

CIF file:
```
data_HoErBr3
_symmetry_space_group_name_H-M 'C 1 2/m 1'
_symmetry_Int_Tables_number 12
_symmetry_space_group_name_Hall '-C 2y'
_cell_length_a 18.5255
_cell_length_b 3.8656
_cell_length_c 11.4068
_cell_angle_alpha 90.00
_cell_angle_beta 125.13
_cell_angle_gamma 90.00
loop_
_atom_site_label
_atom_site_type_symbol
_atom_site_fract_x
_atom_site_fract_y
_atom_site_fract_z
Ho1 Ho 0.1351 0.0000 0.2826
Er1 Er 0.0693 0.5000 0.9588
Br1 Br 0.0296 0.0000 0.7420
Br2 Br 0.1692 0.5000 0.5063
Br3 Br 0.2098 0.0000 0.1200
```

Entry 6:
DFT (PBE-GGA) results for an optimized crystal structure of HoMg7Sc3.

Summary:
total energy	-2.92	eV/atom
formation enthalpy at 0 K	2.61	eV/f.u.
theoretical density	2.72	g/cm3
DOS(E_F)	20.48	states/eV/cell

CIF file:
```
data_HoMg7Sc3
_symmetry_space_group_name_H-M 'C 1 2/m 1'
_symmetry_Int_Tables_number 12
_symmetry_space_group_name_Hall '-C 2y'
_cell_length_a 10.3069
_cell_length_b 9.9545
_cell_length_c 5.8817
_cell_angle_alpha 90.00
_cell_angle_beta 108.02
_cell_angle_gamma 90.00
loop_
_atom_site_label
_atom_site_type_symbol
_atom_site_fract_x
_atom_site_fract_y
_atom_site_fract_z
Ho1 Ho 0.0000 0.0000 0.0000
Mg1 Mg 0.0000 0.0000 0.5000
Mg2 Mg 0.1911 0.2647 0.1903
Mg3 Mg 0.2267 0.5000 0.5318
Sc1 Sc 0.0000 0.3040 0.5000
Sc2 Sc 0.0000 0.5000 0.0000
```

Entry 7:
DFT (PBE-GGA) results for an optimized crystal structure of Cd11InGa.

Summary:
total energy	-1.16	eV/atom
formation enthalpy at 0 K	0.70	eV/f.u.
theoretical density	7.70	g/cm3
DOS(E_F)	7.26	states/eV/cell

CIF file:
```
data_Cd11InGa
_symmetry_space_group_name_H-M 'C 1 2/m 1'
_symmetry_Int_Tables_number 12
_symmetry_space_group_name_Hall '-C 2y'
_cell_length_a 5.9816
_cell_length_b 14.3129
_cell_length_c 7.7354
_cell_angle_alpha 90.00
_cell_angle_beta 112.19
_cell_angle_gamma 90.00
loop_
_atom_site_label
_atom_site_type_symbol
_atom_site_fract_x
_atom_site_fract_y
_atom_site_fract_z
Cd1 Cd 0.0000 0.0000 0.0000
Cd2 Cd 0.0991 0.3938 0.7154
Cd3 Cd 0.1791 0.1738 0.8531
Cd4 Cd 0.2500 0.2500 0.5000
In1 In 0.0000 0.0000 0.5000
Ga1 Ga 0.0000 0.5000 0.0000
```

Entry 8:
DFT (PBE-GGA) results for an optimized crystal structure of Hf7Al2P2.

Summary:
total energy	-8.57	eV/atom
formation enthalpy at 0 K	-6.26	eV/f.u.
theoretical density	10.51	g/cm3
DOS(E_F)	18.33	states/eV/cell

CIF file:
```
data_Hf7Al2P2
_symmetry_space_group_name_H-M 'I m m 2'
_symmetry_Int_Tables_number 44
_symmetry_space_group_name_Hall 'I 2 -2'
_cell_length_a 3.4005
_cell_length_b 15.1046
_cell_length_c 8.3993
_cell_angle_alpha 90.00
_cell_angle_beta 90.00
_cell_angle_gamma 90.00
loop_
_atom_site_label
_atom_site_type_symbol
_atom_site_fract_x
_atom_site_fract_y
_atom_site_fract_z
Hf1 Hf 0.0000 0.0000 0.0000
Hf2 Hf 0.0000 0.1250 0.5730
Hf3 Hf 0.0000 0.3266 0.3643
Hf4 Hf 0.0000 0.3411 0.7507
Al1 Al 0.0000 0.0000 0.3317
Al2 Al 0.0000 0.5000 0.2264
P1 P 0.0000 0.2465 0.0639
```